No. 1
# Ta3Sb5Pd5 (PBE, optimized geometry)
# M_tot in μB/f.u.: 0.00
# Energy in eV/f.u.: -85.38
data_Ta3Sb5Pd5
_chemical_formula_sum 'Ta6 Sb10 Pd10'
_symmetry_space_group_name_H-M 'C 1 2 1'
_symmetry_Int_Tables_number 5
_cell_length_a 13.722
_cell_length_b 6.279
_cell_length_c 9.660
_cell_angle_alpha 90.00
_cell_angle_beta 134.49
_cell_angle_gamma 90.00
loop_
_symmetry_equiv_pos_as_xyz
'x,y,z'
'-x,y,-z'
'x+1/2,y+1/2,z'
'-x+1/2,y+1/2,-z'
loop_
_atom_site_label
_atom_site_type_symbol
_atom_site_fract_x
_atom_site_fract_y
_atom_site_fract_z
Ta1 Ta 0.000 0.000 0.000
Ta2 Ta 0.199 0.003 0.600
Sb1 Sb 0.000 0.495 0.000
Sb2 Sb 0.109 0.009 0.816
Sb3 Sb 0.182 0.504 0.584
Pd1 Pd 0.000 0.779 0.500
Pd2 Pd 0.110 0.240 0.304
Pd3 Pd 0.197 0.754 0.111

***

No. 2
# TaSbPd2 (PBE, optimized geometry)
# M_tot in μB/f.u.: 0.01
# Energy in eV/f.u.: -26.98
data_TaSbPd2
_chemical_formula_sum 'Ta4 Sb4 Pd8'
_symmetry_space_group_name_H-M 'F -4 3 m'
_symmetry_Int_Tables_number 216
_symmetry_space_group_name_Hall 'F -4 2 3'
_cell_length_a 6.533
_cell_length_b 6.533
_cell_length_c 6.533
_cell_angle_alpha 90.00
_cell_angle_beta 90.00
_cell_angle_gamma 90.00
loop_
_atom_site_label
_atom_site_type_symbol
_atom_site_fract_x
_atom_site_fract_y
_atom_site_fract_z
Ta1 Ta 0.000 0.000 0.000
Sb1 Sb 0.250 0.250 0.750
Pd1 Pd 0.000 0.000 0.500
Pd2 Pd 0.250 0.250 0.250

***

No. 3
# TcSbPd2 (PBE, optimized geometry)
# M_tot in μB/f.u.: 0.60
# Energy in eV/f.u.: -25.07
data_TcSbPd2
_chemical_formula_sum 'Tc4 Sb4 Pd8'
_symmetry_space_group_name_H-M 'F -4 3 m'
_symmetry_Int_Tables_number 216
_symmetry_space_group_name_Hall 'F -4 2 3'
_cell_length_a 6.391
_cell_length_b 6.391
_cell_length_c 6.391
_cell_angle_alpha 90.00
_cell_angle_beta 90.00
_cell_angle_gamma 90.00
loop_
_atom_site_label
_atom_site_type_symbol
_atom_site_fract_x
_atom_site_fract_y
_atom_site_fract_z
Tc1 Tc 0.000 0.000 0.000
Sb1 Sb 0.250 0.250 0.750
Pd1 Pd 0.000 0.000 0.500
Pd2 Pd 0.250 0.250 0.250

***

No. 4
# TcSbPd (PBE, optimized geometry)
# Excess energy over the best structure of this formula in the dataset in kcal/mol of atoms: 0.00
# M_tot in μB/f.u.: 0.17
data_TcSbPd
_chemical_formula_sum 'Tc4 Sb4 Pd4'
_symmetry_space_group_name_H-M 'F -4 3 m'
_symmetry_Int_Tables_number 216
_symmetry_space_group_name_Hall 'F -4 2 3'
_cell_length_a 6.154
_cell_length_b 6.154
_cell_length_c 6.154
_cell_angle_alpha 90.00
_cell_angle_beta 90.00
_cell_angle_gamma 90.00
loop_
_atom_site_label
_atom_site_type_symbol
_atom_site_fract_x
_atom_site_fract_y
_atom_site_fract_z
Tc1 Tc 0.000 0.000 0.000
Sb1 Sb 0.250 0.250 0.750
Pd1 Pd 0.000 0.000 0.500

***

No. 5
# SbTePd (PBE, optimized geometry)
# Excess energy over the best structure of this formula in the dataset in kcal/mol of atoms: 0.00
data_SbTePd
_chemical_formula_sum 'Sb4 Te4 Pd4'
_symmetry_space_group_name_H-M 'F -4 3 m'
_symmetry_Int_Tables_number 216
_symmetry_space_group_name_Hall 'F -4 2 3'
_cell_length_a 6.711
_cell_length_b 6.711
_cell_length_c 6.711
_cell_angle_alpha 90.00
_cell_angle_beta 90.00
_cell_angle_gamma 90.00
loop_
_atom_site_label
_atom_site_type_symbol
_atom_site_fract_x
_atom_site_fract_y
_atom_site_fract_z
Sb1 Sb 0.000 0.000 0.000
Te1 Te 0.000 0.000 0.500
Pd1 Pd 0.250 0.250 0.250

***

No. 6
# Sb2Te2Pd3 (PBE, optimized geometry)
# Energy in eV/f.u.: -32.10
data_Sb2Te2Pd3
_chemical_formula_sum 'Sb4 Te4 Pd6'
_symmetry_space_group_name_H-M 'P m m n'
_symmetry_Int_Tables_number 59
_cell_length_a 5.776
_cell_length_b 8.493
_cell_length_c 6.598
_cell_angle_alpha 90.00
_cell_angle_beta 90.00
_cell_angle_gamma 90.00
loop_
_symmetry_equiv_pos_as_xyz
'x,y,z'
'-x,-y,-z'
'-x+1/2,-y+1/2,z'
'x+1/2,y+1/2,-z'
'x+1/2,-y,-z'
'-x+1/2,y,z'
'-x,y+1/2,-z'
'x,-y+1/2,z'
loop_
_atom_site_label
_atom_site_type_symbol
_atom_site_fract_x
_atom_site_fract_y
_atom_site_fract_z
Sb1 Sb 0.250 0.250 0.185
Sb2 Sb 0.250 0.750 0.203
Te1 Te 0.250 0.049 0.656
Pd1 Pd 0.000 0.000 0.000
Pd2 Pd 0.250 0.750 0.787